Record 1
{
  "formula": "Tl3CdIn3I8",
  "functional": "PBE-GGA",
  "state": "relaxed",
  "lattice_angstrom": [[9.888, 0.000, 0.000], [-4.944, 8.564, -0.030], [0.000, -5.682, 8.119]],
  "species": ["In", "In", "In", "Tl", "Tl", "Tl", "Cd", "I", "I", "I", "I", "I", "I", "I", "I"],
  "fractional_positions": [[0.500, 0.000, 0.500], [0.000, 0.500, 0.500], [0.500, 0.500, 0.500], [0.500, 0.500, 0.000], [0.000, 0.500, 0.000], [0.000, 0.000, 0.000], [0.000, 0.000, 0.500], [0.749, 0.498, 0.747], [0.779, 0.998, 0.717], [0.219, 0.439, 0.718], [0.781, 0.002, 0.283], [0.221, 0.002, 0.283], [0.781, 0.561, 0.282], [0.219, 0.998, 0.717], [0.251, 0.502, 0.253]],
  "dos_at_fermi_per_ev_cell": 0.0,
  "energy_ev_per_cell": -36.9,
  "formation_energy_uncorrected_mev_per_atom": -554,
  "crystal_system": "trigonal",
  "sg": "R-3m",
  "mass_density_g_cm3": 5.049
}

Record 2
{
  "formula": "ZnCd2InI",
  "functional": "PBE-GGA",
  "state": "relaxed",
  "lattice_angstrom": [[5.263, 0.000, 0.000], [0.000, 5.263, 0.000], [0.000, 0.000, 5.503]],
  "species": ["I", "Zn", "Cd", "Cd", "In"],
  "fractional_positions": [[0.500, 0.500, 0.500], [0.000, 0.000, 0.000], [0.500, 0.000, 0.000], [0.000, 0.500, 0.000], [0.000, 0.000, 0.500]],
  "dos_at_fermi_per_ev_cell": 2.0,
  "energy_ev_per_cell": -7.4,
  "formation_energy_uncorrected_mev_per_atom": -10,
  "crystal_system": "tetragonal",
  "de_polymorph_mev_per_atom": 0.0,
  "sg": "P4/mmm",
  "mass_density_g_cm3": 5.797
}

Record 3
{
  "formula": "ZnCdIn2I",
  "functional": "PBE-GGA",
  "state": "relaxed",
  "lattice_angstrom": [[5.384, 0.000, 0.000], [0.000, 5.384, 0.000], [0.000, 0.000, 5.308]],
  "species": ["Zn", "In", "In", "I", "Cd"],
  "fractional_positions": [[0.000, 0.000, 0.000], [0.500, 0.000, 0.000], [0.000, 0.500, 0.000], [0.500, 0.500, 0.500], [0.000, 0.000, 0.500]],
  "dos_at_fermi_per_ev_cell": 1.3,
  "energy_ev_per_cell": -9.3,
  "formation_energy_uncorrected_mev_per_atom": -22,
  "crystal_system": "tetragonal",
  "sg": "P4/mmm",
  "mass_density_g_cm3": 5.768
}

Record 4
{
  "formula": "ZnCd2InI",
  "functional": "PBE-GGA",
  "state": "relaxed",
  "lattice_angstrom": [[5.654, 0.000, 0.000], [0.000, 6.213, 0.000], [0.000, 0.000, 5.654]],
  "species": ["I", "Zn", "In", "Cd", "Cd"],
  "fractional_positions": [[0.000, 0.500, 0.000], [0.500, 0.500, 0.500], [0.000, 0.000, 0.000], [0.000, 0.000, 0.500], [0.500, 0.000, 0.000]],
  "dos_at_fermi_per_ev_cell": 0.8,
  "energy_ev_per_cell": -6.4,
  "formation_energy_uncorrected_mev_per_atom": 203,
  "crystal_system": "tetragonal",
  "de_polymorph_mev_per_atom": 212.6,
  "sg": "P4/mmm",
  "mass_density_g_cm3": 4.448
}

Record 5
{
  "formula": "CdIrI2",
  "functional": "PBE-GGA",
  "state": "relaxed",
  "lattice_angstrom": [[-5.101, -4.095, 2.043], [4.197, -2.967, 4.533], [-2.034, 0.481, 7.379]],
  "species": ["I", "I", "I", "I", "Cd", "Cd", "Ir", "Ir"],
  "fractional_positions": [[0.689, 0.125, 0.250], [0.875, 0.939, 0.750], [0.061, 0.625, 0.250], [0.375, 0.311, 0.750], [0.250, 0.750, 0.500], [0.500, 0.500, 0.000], [0.750, 0.250, 0.500], [0.000, 0.000, 0.000]],
  "dos_at_fermi_per_ev_cell": 8.4,
  "energy_ev_per_cell": -22.0,
  "formation_energy_uncorrected_mev_per_atom": 475,
  "crystal_system": "tetragonal",
  "de_polymorph_mev_per_atom": 0.0,
  "sg": "I-42d",
  "mass_density_g_cm3": 6.644
}

Record 6
{
  "formula": "CdIr2I",
  "functional": "PBE-GGA",
  "state": "relaxed",
  "lattice_angstrom": [[4.381, 0.000, 0.000], [0.000, 4.381, 0.000], [2.191, 2.191, 8.764]],
  "species": ["Cd", "Cd", "I", "I", "Ir", "Ir", "Ir", "Ir"],
  "fractional_positions": [[0.500, 0.500, 0.000], [0.250, 0.750, 0.500], [0.750, 0.250, 0.500], [0.000, 0.000, 0.000], [0.077, 0.625, 0.250], [0.375, 0.327, 0.750], [0.875, 0.923, 0.750], [0.673, 0.125, 0.250]],
  "dos_at_fermi_per_ev_cell": 7.8,
  "energy_ev_per_cell": -33.4,
  "formation_energy_uncorrected_mev_per_atom": 869,
  "crystal_system": "tetragonal",
  "de_polymorph_mev_per_atom": 0.0,
  "sg": "I-42d",
  "mass_density_g_cm3": 12.314
}